A plane-wave DFT calculation with PBE was carried out for a geometry-optimized YOsPb2 structure.

Its space-group type is C2/m, No. 12. The formation energy is 463 meV per atom. Its energy above the most stable polymorph in this dataset is 7.45 kcal/mol of atoms.

a b c (Å): 6.156 5.241 3.504
angles (deg): 88.61 74.08 114.76
Positions (direct):
1 Os 0.500 0.000 0.500
2 Pb 0.000 0.000 0.000
3 Pb 0.000 0.500 0.500
4 Y 0.500 0.500 0.000

---

A plane-wave DFT calculation with PBE was carried out for a geometry-optimized Sc2TaTc structure.

Its space-group type is Pmmm, No. 47. The formation energy is 127 meV per atom. Its energy above the most stable polymorph in this dataset is 7.16 kcal/mol of atoms.

a b c (Å): 2.853 4.690 5.569
angles (deg): 90.00 90.00 90.00
Positions (direct):
1 Sc 0.000 0.000 0.992
2 Sc 0.000 0.000 0.508
3 Ta 0.500 0.500 0.250
4 Tc 0.500 0.500 0.750

---

A plane-wave DFT calculation with PBE was carried out for a geometry-optimized SmThCuIr structure.

Its space-group type is F-43m, No. 216. The formation energy is -463 meV per atom. Its energy above the most stable polymorph in this dataset is 3.18 kcal/mol of atoms.

a b c (Å): 5.028 5.028 5.028
angles (deg): 60.00 60.00 60.00
Positions (direct):
1 Ir 0.750 0.750 0.750
2 Sm 0.000 0.000 0.000
3 Th 0.500 0.500 0.500
4 Cu 0.250 0.250 0.250

---

A plane-wave DFT calculation with PBE was carried out for a geometry-optimized PtPbAu structure.

Its space-group type is Imm2, No. 44. The formation energy is 21 meV per atom. Its energy above the most stable polymorph in this dataset is 1.52 kcal/mol of atoms.

a b c (Å): 5.229 5.229 5.229
angles (deg): 139.56 138.52 59.31
Positions (direct):
1 Au 0.992 0.992 0.000
2 Pb 0.671 0.671 0.000
3 Pt 0.337 0.337 0.000

---

A plane-wave DFT calculation with PBE was carried out for a geometry-optimized PbBr2Cl8 structure.

Its space-group type is C2/m, No. 12. The uncorrected formation energy is -4.536 kcal/mol of atoms.

a b c (Å): 5.603 4.923 15.494
angles (deg): 98.88 100.42 90.00
Positions (direct):
1 Pb 0.500 0.000 0.000
2 Br 0.186 0.676 0.372
3 Br 0.814 0.324 0.628
4 Cl 0.589 0.836 0.178
5 Cl 0.411 0.659 0.822
6 Cl 0.209 0.124 0.417
7 Cl 0.000 0.253 0.000
8 Cl 0.791 0.876 0.583
9 Cl 0.589 0.341 0.178
10 Cl 0.411 0.164 0.822
11 Cl 0.000 0.747 0.000

---

A plane-wave DFT calculation with PBE was carried out for a geometry-optimized YMn2Ru structure.

Its space-group type is I-42d, No. 122. The formation energy is 404 meV per atom. Its energy above the most stable polymorph in this dataset is 7.31 kcal/mol of atoms.

a b c (Å): 7.386 7.386 5.919
angles (deg): 51.40 51.40 90.00
Positions (direct):
1 Y 0.500 0.500 0.000
2 Y 0.250 0.750 0.500
3 Ru 0.000 0.000 0.000
4 Ru 0.750 0.250 0.500
5 Mn 0.681 0.125 0.250
6 Mn 0.069 0.625 0.250
7 Mn 0.375 0.319 0.750
8 Mn 0.875 0.931 0.750

---

A plane-wave DFT calculation with PBE was carried out for a geometry-optimized LiO2F2 structure.

Its space-group type is P4/mmm, No. 123. Its energy above the most stable polymorph in this dataset is 20.72 kcal/mol of atoms. The uncorrected formation energy is -6.009 kcal/mol of atoms.

a b c (Å): 4.135 4.135 3.195
angles (deg): 90.00 90.00 90.00
Positions (direct):
1 Li 0.500 0.500 0.500
2 O 0.000 0.000 0.000
3 O 0.000 0.000 0.500
4 F 0.000 0.500 0.000
5 F 0.500 0.000 0.000

---

A plane-wave DFT calculation with PBE was carried out for a geometry-optimized Zr2MnGe2 structure.

Its space-group type is P4/mbm, No. 127. The formation energy is -604 meV per atom.

a b c (Å): 6.688 6.688 3.987
angles (deg): 90.00 90.00 90.00
Positions (direct):
1 Ge 0.365 0.865 0.000
2 Ge 0.865 0.635 0.000
3 Ge 0.635 0.135 0.000
4 Ge 0.135 0.365 0.000
5 Mn 0.000 0.000 0.000
6 Mn 0.500 0.500 0.000
7 Zr 0.172 0.672 0.500
8 Zr 0.672 0.828 0.500
9 Zr 0.828 0.328 0.500
10 Zr 0.328 0.172 0.500

---

A plane-wave DFT calculation with PBE was carried out for a geometry-optimized Pt2SeBr structure.

Its space-group type is Imm2, No. 44. Its energy above the most stable polymorph in this dataset is 10.40 kcal/mol of atoms. The uncorrected formation energy is 5.533 kcal/mol of atoms.

a b c (Å): 7.924 7.924 7.924
angles (deg): 154.33 154.79 36.28
Positions (direct):
1 Br 0.244 0.744 0.500
2 Pt 0.948 0.948 0.000
3 Pt 0.808 0.308 0.500
4 Se 0.500 0.500 0.000

---

A plane-wave DFT calculation with PBE was carried out for a geometry-optimized CsRb3Tc structure.

Its space-group type is Pm-3m, No. 221. The formation energy is 1075 meV per atom. Its energy above the most stable polymorph in this dataset is 0.00 kcal/mol of atoms.

a b c (Å): 6.582 6.582 6.582
angles (deg): 90.00 90.00 90.00
Positions (direct):
1 Cs 0.500 0.500 0.500
2 Tc 0.000 0.000 0.000
3 Rb 0.000 0.500 0.000
4 Rb 0.000 0.000 0.500
5 Rb 0.500 0.000 0.000

---

A plane-wave DFT calculation with PBE was carried out for a geometry-optimized Na3CuAg structure.

Its space-group type is Pm-3m, No. 221. The formation energy is 370 meV per atom. Its energy above the most stable polymorph in this dataset is 0.00 kcal/mol of atoms.

a b c (Å): 5.360 5.360 5.360
angles (deg): 90.00 90.00 90.00
Positions (direct):
1 Na 0.000 0.500 0.000
2 Na 0.000 0.000 0.500
3 Na 0.500 0.000 0.000
4 Cu 0.000 0.000 0.000
5 Ag 0.500 0.500 0.500

---

A plane-wave DFT calculation with PBE was carried out for a geometry-optimized Mn2SnRuC structure.

Its space-group type is P4/mmm, No. 123. The formation energy is 13 meV per atom.

a b c (Å): 3.907 3.907 4.148
angles (deg): 90.00 90.00 90.00
Positions (direct):
1 Ru 0.000 0.000 0.500
2 C 0.000 0.000 0.000
3 Mn 0.000 0.500 0.000
4 Mn 0.500 0.000 0.000
5 Sn 0.500 0.500 0.500

---

A plane-wave DFT calculation with PBE was carried out for a geometry-optimized KCdMo2 structure.

Its space-group type is P4/mmm, No. 123. The formation energy is 1383 meV per atom.

a b c (Å): 5.287 3.960 3.960
angles (deg): 90.00 90.00 90.00
Positions (direct):
1 Cd 0.500 0.500 0.000
2 K 0.500 0.000 0.500
3 Mo 0.000 0.000 0.000
4 Mo 0.000 0.500 0.500

---

A plane-wave DFT calculation with PBE was carried out for a geometry-optimized Mo3Pt structure.

Its space-group type is R-3m, No. 166. The formation energy is 122 meV per atom. Its energy above the most stable polymorph in this dataset is 5.73 kcal/mol of atoms.

a b c (Å): 9.745 9.745 9.745
angles (deg): 16.30 16.30 16.30
Positions (direct):
1 Mo 0.002 0.002 0.002
2 Mo 0.250 0.250 0.250
3 Mo 0.498 0.498 0.498
4 Pt 0.750 0.750 0.750

---

A plane-wave DFT calculation with PBE was carried out for a geometry-optimized FeReRh2 structure.

Its space-group type is Fm-3m, No. 225. The formation energy is 279 meV per atom. Its energy above the most stable polymorph in this dataset is 8.33 kcal/mol of atoms.

a b c (Å): 4.317 4.317 4.317
angles (deg): 60.00 60.00 60.00
Positions (direct):
1 Re 0.500 0.500 0.500
2 Rh 0.250 0.250 0.250
3 Rh 0.750 0.750 0.750
4 Fe 0.000 0.000 0.000

---

A plane-wave DFT calculation with PBE was carried out for a geometry-optimized KY2Cu structure.

Its space-group type is R-3m, No. 166. The formation energy is 201 meV per atom. Its energy above the most stable polymorph in this dataset is 1.92 kcal/mol of atoms.

a b c (Å): 10.988 10.988 10.988
angles (deg): 20.56 20.56 20.56
Positions (direct):
1 Cu 0.250 0.250 0.250
2 K 0.750 0.750 0.750
3 Y 0.968 0.968 0.968
4 Y 0.532 0.532 0.532

---

A plane-wave DFT calculation with PBE was carried out for a geometry-optimized Ba2BiIO6 structure.

Its space-group type is Fm-3m, No. 225. The uncorrected formation energy is -36.484 kcal/mol of atoms.

a b c (Å): 6.240 6.241 6.242
angles (deg): 60.00 60.01 89.99
Positions (direct):
1 Ba 0.750 0.250 0.500
2 Ba 0.250 0.750 0.500
3 Bi 0.000 0.000 0.000
4 I 0.500 0.500 0.000
5 O 0.262 0.262 0.477
6 O 0.739 0.738 0.000
7 O 0.262 0.738 0.000
8 O 0.738 0.262 0.000
9 O 0.261 0.262 0.000
10 O 0.738 0.738 0.523

---

A plane-wave DFT calculation with PBE was carried out for a geometry-optimized NpTl3I6 structure.

Its space-group type is P2_1/c, No. 14. Its energy above the most stable polymorph in this dataset is 0.00 kcal/mol of atoms. The uncorrected formation energy is -17.092 kcal/mol of atoms.

a b c (Å): 8.202 9.243 12.029
angles (deg): 90.00 94.51 90.00
Positions (direct):
1 Np 0.500 0.500 0.500
2 Np 0.000 0.000 0.000
3 Tl 0.462 0.098 0.773
4 Tl 0.500 0.500 0.000
5 Tl 0.538 0.902 0.227
6 Tl 0.962 0.402 0.273
7 Tl 0.000 0.000 0.500
8 Tl 0.038 0.598 0.727
9 I 0.311 0.830 0.945
10 I 0.347 0.788 0.580
11 I 0.346 0.565 0.260
12 I 0.654 0.435 0.740
13 I 0.653 0.212 0.420
14 I 0.689 0.170 0.055
15 I 0.811 0.670 0.445
16 I 0.847 0.712 0.080
17 I 0.846 0.935 0.760
18 I 0.154 0.065 0.240
19 I 0.153 0.288 0.920
20 I 0.189 0.330 0.555

---

A plane-wave DFT calculation with PBE was carried out for a geometry-optimized Cd4SbRh structure.

Its space-group type is F-43m, No. 216. The uncorrected formation energy is 4.869 kcal/mol of atoms.

a b c (Å): 5.655 5.655 5.655
angles (deg): 60.00 60.00 60.00
Positions (direct):
1 Cd 0.873 0.376 0.376
2 Cd 0.376 0.376 0.873
3 Cd 0.376 0.873 0.376
4 Cd 0.376 0.376 0.376
5 Sb 0.000 0.000 0.000
6 Rh 0.750 0.750 0.750

---

A plane-wave DFT calculation with PBE was carried out for a geometry-optimized CsSrMg6 structure.

Its space-group type is Amm2, No. 38. The formation energy is 170 meV per atom.

a b c (Å): 7.498 7.498 5.480
angles (deg): 90.00 90.00 117.37
Positions (direct):
1 Cs 0.906 0.094 0.000
2 Sr 0.592 0.408 0.500
3 Mg 0.379 0.030 0.000
4 Mg 0.970 0.621 0.000
5 Mg 0.400 0.600 0.000
6 Mg 0.125 0.479 0.500
7 Mg 0.521 0.875 0.500
8 Mg 0.108 0.892 0.500

---

VASP energy
In order: -23.3 -34.4 -26.9 -13.0 -24.0 -64.9 -16.9 -77.0 -16.3 -8.7 -9.1 -40.8 -18.1 -38.0 -34.5 -17.3 -54.8 -73.5 -13.9 -10.7
Unit: eV per cell